Entry 1:
A plane-wave DFT calculation with GGA-PBE was carried out for an optimized crystal structure of LiTlPt3.

Cell: 5.0974 5.0974 5.0974 Å, 90.00 90.00 90.00°
Last column: nearest neighbours and their distance in Å.
Sites, in units of the cell vectors:
1 Li 0.0000 0.0000 0.0000  12 Pt 3.60
2 Tl 0.5000 0.5000 0.5000  6 Pt 2.55
3 Pt 0.0000 0.5000 0.5000  2 Tl 2.55
4 Pt 0.5000 0.0000 0.5000  2 Tl 2.55
5 Pt 0.5000 0.5000 0.0000  2 Tl 2.55

Properties
The crystal system is cubic. For the magnetic moment, the calculation gives 0.00 μB/cell. The value obtained for the density of states at the Fermi level is 2.356 states/eV/cell. The value obtained for the energy above the most stable polymorph in this dataset is 713 meV/atom. The formation energy is 4.88 eV per formula unit. The space group is Pm-3m, No. 221. Its uncorrected energy is -3.505 eV per atom. The calculation puts the volume at 26.49 A^3/atom.

=====

Entry 2:
A plane-wave DFT calculation with GGA-PBE was carried out for an optimized crystal structure of CaAl2InHg.

Cell: 5.2703 5.2703 5.5950 Å, 90.00 90.00 90.00°
Last column: nearest neighbours and their distance in Å.
Sites, in units of the cell vectors:
1 Ca 0.0000 0.0000 0.0000  4 Hg 3.73, 8 Al 3.84
2 Al 0.0000 0.5000 0.5000  2 In 2.64
3 Al 0.5000 0.0000 0.5000  2 In 2.64
4 In 0.5000 0.5000 0.5000  4 Al 2.64, 2 Hg 2.80
5 Hg 0.5000 0.5000 0.0000  2 In 2.80

Properties
The crystal system is tetragonal. For the magnetic moment, the calculation gives 0.00 μB/cell. The value obtained for the density of states at the Fermi level is 2.283 states/eV/cell. The formation energy is 1.90 eV per formula unit. The space group is P4/mmm, No. 123. Its uncorrected energy is -2.126 eV per atom. The calculation puts the volume at 31.08 A^3/atom.

=====

Entry 3:
A plane-wave DFT calculation with GGA-PBE was carried out for an optimized crystal structure of LiIn2Ag.

Cell: 3.1966 4.8360 5.3118 Å, 90.00 90.00 90.00°
Last column: nearest neighbours and their distance in Å.
Sites, in units of the cell vectors:
1 Li 0.0000 0.0000 0.0000  2 Ag 2.94, 8 In 3.01-3.14, 2 Li 3.20
2 In 0.5000 0.0000 0.5086  4 Ag 3.05, 4 Li 3.06-3.14, 4 In 3.07-3.20
3 In 0.5000 0.5000 0.1540  4 Ag 2.96-3.24, 4 Li 3.01, 4 In 3.07-3.20
4 Ag 0.0000 0.5000 0.6846  2 Li 2.94, 8 In 2.96-3.24, 2 Ag 3.20

Properties
The crystal system is orthorhombic. For the magnetic moment, the calculation gives 0.00 μB/cell. The value obtained for the density of states at the Fermi level is 0.839 states/eV/cell. The formation energy is -0.60 eV per formula unit. The space group is Pmm2, No. 25. Its uncorrected energy is -2.710 eV per atom. The calculation puts the volume at 20.53 A^3/atom.

=====

Entry 4:
A plane-wave DFT calculation with GGA-PBE was carried out for an optimized crystal structure of Hf2AlCu.

Cell: 3.0544 3.0544 7.6313 Å, 90.00 90.00 90.00°
Last column: nearest neighbours and their distance in Å.
Sites, in units of the cell vectors:
1 Hf 0.0000 0.0000 0.2363  4 Cu 2.81, 4 Al 2.95, 4 Hf 3.05
2 Hf 0.0000 0.0000 0.7637  4 Cu 2.81, 4 Al 2.95, 4 Hf 3.05
3 Al 0.5000 0.5000 0.5000  8 Hf 2.95, 4 Al 3.05
4 Cu 0.5000 0.5000 0.0000  8 Hf 2.81, 4 Cu 3.05

Properties
The crystal system is tetragonal. For the magnetic moment, the calculation gives 0.00 μB/cell. The value obtained for the density of states at the Fermi level is 2.589 states/eV/cell. The formation energy is -0.95 eV per formula unit. The space group is P4/mmm, No. 123. Its uncorrected energy is -7.173 eV per atom. The calculation puts the volume at 17.80 A^3/atom.

=====

Entry 5:
A plane-wave DFT calculation with GGA-PBE was carried out for an optimized crystal structure of LaAlO3.

Cell: 7.3593 7.8932 8.3364 Å, 76.18 83.15 89.44°
Last column: nearest neighbours and their distance in Å.
Sites, in units of the cell vectors:
1 La 0.0310 0.2546 0.4850  7 O 2.40-2.58
2 La 0.2570 0.4141 0.8172  6 O 2.41-2.66
3 La 0.2754 0.9206 0.7984  5 O 2.34-2.58
4 La 0.7246 0.0794 0.2016  5 O 2.34-2.58
5 La 0.7430 0.5859 0.1828  6 O 2.41-2.66
6 La 0.9690 0.7454 0.5150  7 O 2.40-2.58
7 Al 0.2274 0.1004 0.1876  4 O 1.75-1.79
8 Al 0.2377 0.5466 0.1846  4 O 1.76-1.79
9 Al 0.4432 0.7645 0.4043  4 O 1.77-1.79
10 Al 0.5568 0.2355 0.5957  4 O 1.77-1.79
11 Al 0.7623 0.4534 0.8154  4 O 1.76-1.79
12 Al 0.7726 0.8996 0.8124  4 O 1.75-1.79
13 O 0.0148 0.0271 0.3132  1 Al 1.79
14 O 0.0262 0.5703 0.3077  1 Al 1.79
15 O 0.2298 0.1129 0.9748  1 Al 1.75
16 O 0.2370 0.6383 0.9707  1 Al 1.76
17 O 0.2429 0.3181 0.2079  2 Al 1.77
18 O 0.2887 0.7158 0.5902  1 Al 1.77
19 O 0.3132 0.2296 0.6047  1 Al 1.79
20 O 0.4056 0.9801 0.2838  2 Al 1.77-1.79
21 O 0.4207 0.6197 0.2711  2 Al 1.76-1.79
22 O 0.5793 0.3803 0.7289  2 Al 1.76-1.79
23 O 0.5944 0.0199 0.7162  2 Al 1.77-1.79
24 O 0.6868 0.7704 0.3953  1 Al 1.79
25 O 0.7113 0.2842 0.4098  1 Al 1.77
26 O 0.7571 0.6819 0.7921  2 Al 1.77
27 O 0.7630 0.3617 0.0293  1 Al 1.76
28 O 0.7702 0.8871 0.0252  1 Al 1.75
29 O 0.9738 0.4297 0.6923  1 Al 1.79
30 O 0.9852 0.9729 0.6868  1 Al 1.79

Properties
The crystal system is triclinic. For the magnetic moment, the calculation gives 0.00 μB/cell. The value obtained for the density of states at the Fermi level is 0.000 states/eV/cell. The space group is P-1, No. 2. Its uncorrected energy is -7.981 eV per atom. The calculation puts the volume at 15.56 A^3/atom.

=====

Entry 6:
A plane-wave DFT calculation with GGA-PBE was carried out for an optimized crystal structure of AlGaHg.

Cell: 6.6772 5.6859 6.5159 Å, 90.00 90.00 90.00°
Last column: nearest neighbours and their distance in Å.
Sites, in units of the cell vectors:
1 Al 0.0000 0.0000 0.0000  4 Ga 2.79-2.80, 2 Al 2.84, 4 Hg 2.92-3.03
2 Al 0.0000 0.5000 0.0000  4 Ga 2.79-2.80, 2 Al 2.84, 4 Hg 2.92-3.03
3 Al 0.5000 0.0000 0.5000  4 Ga 2.79-2.80, 2 Al 2.84, 4 Hg 2.92-3.03
4 Al 0.5000 0.5000 0.5000  4 Ga 2.79-2.80, 2 Al 2.84, 4 Hg 2.92-3.03
5 Ga 0.1895 0.2500 0.3153  4 Al 2.79-2.80, 3 Hg 2.90
6 Ga 0.3105 0.7500 0.8153  4 Al 2.79-2.80, 3 Hg 2.90
7 Ga 0.6895 0.2500 0.1847  4 Al 2.79-2.80, 3 Hg 2.90
8 Ga 0.8105 0.7500 0.6847  4 Al 2.79-2.80, 3 Hg 2.90
9 Hg 0.1195 0.7500 0.3711  4 Ga 2.90-3.16, 4 Al 2.92-3.03
10 Hg 0.3805 0.2500 0.8711  4 Ga 2.90-3.16, 4 Al 2.92-3.03
11 Hg 0.6195 0.7500 0.1289  4 Ga 2.90-3.16, 4 Al 2.92-3.03
12 Hg 0.8805 0.2500 0.6289  4 Ga 2.90-3.16, 4 Al 2.92-3.03

Properties
The crystal system is orthorhombic. For the magnetic moment, the calculation gives 0.00 μB/cell. The value obtained for the density of states at the Fermi level is 4.518 states/eV/cell. The formation energy is 0.29 eV per formula unit. The space group is Pnma, No. 62. Its uncorrected energy is -2.259 eV per atom. The calculation puts the volume at 20.62 A^3/atom.

=====

Entry 7:
A plane-wave DFT calculation with GGA-PBE was carried out for an optimized crystal structure of Li2AgSb.

Cell: 3.4236 3.4236 6.4913 Å, 90.00 90.00 90.00°
Last column: nearest neighbours and their distance in Å.
Sites, in units of the cell vectors:
1 Li 0.0000 0.0000 0.0000  4 Ag 2.72, 4 Li 2.91
2 Li 0.5000 0.5000 0.2486  1 Ag 2.85, 4 Li 2.91, 4 Sb 2.93
3 Ag 0.5000 0.5000 0.8089  5 Li 2.72-2.85
4 Sb 0.0000 0.0000 0.5039  6 Li 2.93-3.27, 4 Ag 3.13

Properties
The crystal system is tetragonal. For the magnetic moment, the calculation gives 0.00 μB/cell. The value obtained for the density of states at the Fermi level is 0.953 states/eV/cell. The space group is P4mm, No. 99. Its uncorrected energy is -2.911 eV per atom. The calculation puts the volume at 19.02 A^3/atom.

=====

Entry 8:
A plane-wave DFT calculation with GGA-PBE was carried out for an optimized crystal structure of YHgP2S.

Cell: 5.4093 5.4093 5.1578 Å, 90.00 90.00 90.00°
Last column: nearest neighbours and their distance in Å.
Sites, in units of the cell vectors:
1 Y 0.0000 0.0000 0.0000  2 S 2.58, 4 P 2.70
2 Hg 0.5000 0.5000 0.5000  8 P 3.74, 4 S 3.82
3 P 0.0000 0.5000 0.0000  2 Y 2.70
4 P 0.5000 0.0000 0.0000  2 Y 2.70
5 S 0.0000 0.0000 0.5000  2 Y 2.58

Properties
The crystal system is tetragonal. For the magnetic moment, the calculation gives 1.38 μB/cell. The value obtained for the density of states at the Fermi level is 4.777 states/eV/cell. The value obtained for the energy above the most stable polymorph in this dataset is 0 meV/atom. The space group is P4/mmm, No. 123. Its uncorrected energy is -3.993 eV per atom. The calculation puts the volume at 30.18 A^3/atom.

=====

Entry 9:
A plane-wave DFT calculation with GGA-PBE was carried out for an optimized crystal structure of VCr2Ru.

Cell: 6.6692 6.6692 4.9060 Å, 90.00 90.00 90.00°
Last column: nearest neighbours and their distance in Å.
Sites, in units of the cell vectors:
1 V 0.0000 0.0000 0.0000  2 Ru 2.45, 4 Cr 2.46
2 V 0.0000 0.5000 0.2500  2 Ru 2.45, 4 Cr 2.46
3 V 0.5000 0.0000 0.7500  2 Ru 2.45, 4 Cr 2.46
4 V 0.5000 0.5000 0.5000  2 Ru 2.45, 4 Cr 2.46
5 Cr 0.2448 0.2500 0.6250  2 Ru 2.41, 2 Cr 2.45, 2 V 2.46
6 Cr 0.2500 0.7448 0.8750  2 Ru 2.41, 2 Cr 2.45, 2 V 2.46
7 Cr 0.2500 0.7552 0.3750  2 Ru 2.41, 2 Cr 2.45, 2 V 2.46
8 Cr 0.2552 0.2500 0.1250  2 Ru 2.41, 2 Cr 2.45, 2 V 2.46
9 Cr 0.7448 0.7500 0.1250  2 Ru 2.41, 2 Cr 2.45, 2 V 2.46
10 Cr 0.7500 0.2448 0.3750  2 Ru 2.41, 2 Cr 2.45, 2 V 2.46
11 Cr 0.7500 0.2552 0.8750  2 Ru 2.41, 2 Cr 2.45, 2 V 2.46
12 Cr 0.7552 0.7500 0.6250  2 Ru 2.41, 2 Cr 2.45, 2 V 2.46
13 Ru 0.0000 0.0000 0.5000  4 Cr 2.41, 2 V 2.45
14 Ru 0.0000 0.5000 0.7500  4 Cr 2.41, 2 V 2.45
15 Ru 0.5000 0.0000 0.2500  4 Cr 2.41, 2 V 2.45
16 Ru 0.5000 0.5000 0.0000  4 Cr 2.41, 2 V 2.45

Properties
The crystal system is tetragonal. For the magnetic moment, the calculation gives 0.00 μB/cell. The value obtained for the density of states at the Fermi level is 20.373 states/eV/cell. The value obtained for the energy above the most stable polymorph in this dataset is 630 meV/atom. The formation energy is 2.41 eV per formula unit. The space group is I-42d, No. 122. Its uncorrected energy is -8.807 eV per atom. The calculation puts the volume at 13.64 A^3/atom.

=====

Entry 10:
A plane-wave DFT calculation with GGA-PBE was carried out for an optimized crystal structure of Rb2InTeI6.

Cell: 8.7345 8.7345 8.7345 Å, 119.36 119.36 91.12°
Last column: nearest neighbours and their distance in Å.
Sites, in units of the cell vectors:
1 Rb 0.2500 0.7500 0.5000  12 I 4.37-4.41
2 Rb 0.7500 0.2500 0.5000  12 I 4.37-4.41
3 In 0.0000 0.0000 0.0000  6 I 3.03-3.14
4 Te 0.5000 0.5000 0.0000  6 I 2.98-3.21
5 I 0.2426 0.2426 0.4853  1 In 3.03, 1 Te 3.21
6 I 0.2426 0.7574 0.0000  1 In 3.03, 1 Te 3.21
7 I 0.2566 0.2566 0.0000  1 Te 2.98, 1 In 3.14
8 I 0.7434 0.7434 0.0000  1 Te 2.98, 1 In 3.14
9 I 0.7574 0.2426 0.0000  1 In 3.03, 1 Te 3.21
10 I 0.7574 0.7574 0.5147  1 In 3.03, 1 Te 3.21

Properties
The crystal system is tetragonal. For the magnetic moment, the calculation gives 0.00 μB/cell. The value obtained for the density of states at the Fermi level is 2.517 states/eV/cell. The space group is I4/mmm, No. 139. Its uncorrected energy is -2.423 eV per atom. The calculation puts the volume at 47.57 A^3/atom.

=====

Entry 11:
A plane-wave DFT calculation with GGA-PBE was carried out for an optimized crystal structure of Cs2MoBr7.

Cell: 10.0131 10.0131 13.9528 Å, 126.18 126.18 46.83°
Last column: nearest neighbours and their distance in Å.
Sites, in units of the cell vectors:
1 Cs 0.0614 0.6678 0.9471  8 Br 3.64-4.04
2 Cs 0.3322 0.9386 0.5529  8 Br 3.64-4.04
3 Cs 0.6678 0.0614 0.4471  8 Br 3.64-4.04
4 Cs 0.9386 0.3322 0.0529  8 Br 3.64-4.04
5 Mo 0.2638 0.7362 0.7500  7 Br 2.56-2.67
6 Mo 0.7362 0.2638 0.2500  7 Br 2.56-2.67
7 Br 0.0925 0.1031 0.7740  1 Mo 2.67
8 Br 0.1031 0.0925 0.2740  1 Mo 2.67
9 Br 0.1909 0.6534 0.5179  1 Mo 2.56
10 Br 0.2080 0.4645 0.6813  1 Mo 2.65
11 Br 0.3466 0.8091 0.9821  1 Mo 2.56
12 Br 0.4050 0.5950 0.2500  1 Mo 2.64
13 Br 0.4645 0.2080 0.1813  1 Mo 2.65
14 Br 0.5355 0.7920 0.8187  1 Mo 2.65
15 Br 0.5950 0.4050 0.7500  1 Mo 2.64
16 Br 0.6534 0.1909 0.0179  1 Mo 2.56
17 Br 0.7920 0.5355 0.3187  1 Mo 2.65
18 Br 0.8091 0.3466 0.4821  1 Mo 2.56
19 Br 0.8969 0.9075 0.7260  1 Mo 2.67
20 Br 0.9075 0.8969 0.2260  1 Mo 2.67

Properties
The crystal system is monoclinic. For the magnetic moment, the calculation gives 2.94 μB/cell. The value obtained for the density of states at the Fermi level is 18.748 states/eV/cell. The value obtained for the energy above the most stable polymorph in this dataset is 0 meV/atom. The space group is C2/c, No. 15. Its uncorrected energy is -3.350 eV per atom. The calculation puts the volume at 39.06 A^3/atom.

=====

Entry 12:
A plane-wave DFT calculation with GGA-PBE was carried out for an optimized crystal structure of RbZn3As.

Cell: 5.2708 5.2708 5.2708 Å, 90.00 90.00 90.00°
Last column: nearest neighbours and their distance in Å.
Sites, in units of the cell vectors:
1 Rb 0.0000 0.0000 0.0000  12 Zn 3.73
2 Zn 0.0000 0.5000 0.5000  2 As 2.64
3 Zn 0.5000 0.0000 0.5000  2 As 2.64
4 Zn 0.5000 0.5000 0.0000  2 As 2.64
5 As 0.5000 0.5000 0.5000  6 Zn 2.64

Properties
The crystal system is cubic. For the magnetic moment, the calculation gives 0.00 μB/cell. The value obtained for the density of states at the Fermi level is 3.395 states/eV/cell. The value obtained for the energy above the most stable polymorph in this dataset is 0 meV/atom. The formation energy is 1.21 eV per formula unit. The space group is Pm-3m, No. 221. Its uncorrected energy is -1.646 eV per atom. The calculation puts the volume at 29.29 A^3/atom.